Entry 1:
# Si3Tc, relaxed, DFT PBE
# Relative energy among the computed polymorphs, eV/atom: 0.424
# N(E_F), states/eV/f.u.: 2.77
# ΔE_f (raw), meV per atom: 240
# Raw total energy, eV/atom: -6.418
data_Si3Tc
_space_group_name_H-M_alt 'P 1'
_space_group_IT_number 1
_space_group_name_Hall 'P 1'
_cell_length_a 6.009
_cell_length_b 6.009
_cell_length_c 6.009
_cell_angle_alpha 90.00
_cell_angle_beta 90.00
_cell_angle_gamma 90.00
loop_
_atom_site_label
_atom_site_type_symbol
_atom_site_fract_x
_atom_site_fract_y
_atom_site_fract_z
Si1 Si 0.000 0.000 0.000
Si2 Si 0.000 0.500 0.500
Si3 Si 0.250 0.250 0.250
Si4 Si 0.250 0.250 0.750
Si5 Si 0.250 0.750 0.250
Si6 Si 0.250 0.750 0.750
Si7 Si 0.500 0.000 0.500
Si8 Si 0.500 0.500 0.000
Si9 Si 0.750 0.250 0.250
Si10 Si 0.750 0.250 0.750
Si11 Si 0.750 0.750 0.250
Si12 Si 0.750 0.750 0.750
Tc1 Tc 0.000 0.000 0.500
Tc2 Tc 0.000 0.500 0.000
Tc3 Tc 0.500 0.000 0.000
Tc4 Tc 0.500 0.500 0.500



Entry 2:
# Li2ScZn, relaxed, DFT PBE
# N(E_F), states/eV/f.u.: 1.97
# Raw total energy, eV/atom: -2.787
# Formation energy from the elements, eV/atom: 0.0712
data_Li2ScZn
_space_group_name_H-M_alt 'P 1'
_space_group_IT_number 1
_space_group_name_Hall 'P 1'
_cell_length_a 2.996
_cell_length_b 2.996
_cell_length_c 29.804
_cell_angle_alpha 90.00
_cell_angle_beta 90.00
_cell_angle_gamma 120.00
loop_
_atom_site_label
_atom_site_type_symbol
_atom_site_fract_x
_atom_site_fract_y
_atom_site_fract_z
Li1 Li 0.000 0.000 0.243
Li2 Li 0.000 0.000 0.757
Li3 Li 0.333 0.667 0.424
Li4 Li 0.333 0.667 0.910
Li5 Li 0.667 0.333 0.090
Li6 Li 0.667 0.333 0.576
Sc1 Sc 0.000 0.000 0.000
Sc2 Sc 0.333 0.667 0.667
Sc3 Sc 0.667 0.333 0.333
Zn1 Zn 0.000 0.000 0.500
Zn2 Zn 0.333 0.667 0.167
Zn3 Zn 0.667 0.333 0.833



Entry 3:
# Pm6SnTe3As2, relaxed, DFT PBE
# N(E_F), states/eV/f.u.: 4.85
# ΔE_f (raw), meV per atom: -1395
# Raw total energy, eV/atom: -5.664
data_Pm6SnTe3As2
_space_group_name_H-M_alt 'P 1'
_space_group_IT_number 1
_space_group_name_Hall 'P 1'
_cell_length_a 9.891
_cell_length_b 9.891
_cell_length_c 8.885
_cell_angle_alpha 103.94
_cell_angle_beta 103.94
_cell_angle_gamma 25.54
loop_
_atom_site_label
_atom_site_type_symbol
_atom_site_fract_x
_atom_site_fract_y
_atom_site_fract_z
Pm1 Pm 0.008 0.008 0.248
Pm2 Pm 0.326 0.326 0.432
Pm3 Pm 0.334 0.334 0.896
Pm4 Pm 0.666 0.666 0.104
Pm5 Pm 0.674 0.674 0.568
Pm6 Pm 0.992 0.992 0.752
Sn1 Sn 0.500 0.500 0.000
Te1 Te 0.165 0.165 0.832
Te2 Te 0.500 0.500 0.500
Te3 Te 0.835 0.835 0.168
As1 As 0.168 0.168 0.336
As2 As 0.832 0.832 0.664



Ordered calculated density results: 5.58 2.67 6.96; unit g cm⁻³.